The following is a PBE calculation of crystalline Rb2UNi2Te4 at its relaxed geometry, from Alexandria.

Cell lengths 8.0241, 8.0241, 8.8053 Å; angles 107.15, 107.15, 30.56 degrees
Last column: nearest neighbours and their distance in Å.
Element x y z (fractional)
Rb  0.1364  0.1364  0.0558  7 Te 3.61-3.91, 1 Rb 4.03
Rb  0.8636  0.8636  0.9442  7 Te 3.61-3.91, 1 Rb 4.03
U  0.0000  0.0000  0.5000  6 Te 3.02-3.04
Ni  0.3228  0.3228  0.5117  4 Te 2.57-2.59
Ni  0.6772  0.6772  0.4883  4 Te 2.57-2.59
Te  0.2021  0.2021  0.6613  3 Ni 2.57-2.59
Te  0.4780  0.4780  0.7334  1 Ni 2.59
Te  0.5220  0.5220  0.2666  1 Ni 2.59
Te  0.7979  0.7979  0.3387  3 Ni 2.57-2.59

Values from the calculation:
E_tot = -4.776 eV/atom
V = 274.4 Å³ per cell
Formation energy without anion corrections = -0.6254 eV/atom
N(E_F) = 7.7 states/eV/cell
Total magnetic moment = 0.12 μB per atom

---

The following is a PBE calculation of crystalline RbUNiTe4 at its relaxed geometry, from Alexandria.

Cell lengths 7.3122, 6.2904, 10.2988 Å; angles 90.00, 106.27, 90.00 degrees
Last column: nearest neighbours and their distance in Å.
Element x y z (fractional)
Rb  0.2313  0.2500  0.0474  8 Te 3.61-3.86
Rb  0.7687  0.7500  0.9526  8 Te 3.61-3.86
U  0.2686  0.2500  0.5535  6 Te 2.96-3.20, 1 Ni 3.21
U  0.7314  0.7500  0.4465  6 Te 2.96-3.20, 1 Ni 3.21
Ni  0.2740  0.7500  0.3519  4 Te 2.46-2.53
Ni  0.7260  0.2500  0.6481  4 Te 2.46-2.53
Te  0.0066  0.5013  0.6976  1 Ni 2.53
Te  0.0066  0.9987  0.6976  1 Ni 2.53
Te  0.4271  0.7500  0.5972  1 Ni 2.46
Te  0.4517  0.7500  0.1756  1 Ni 2.51
Te  0.5483  0.2500  0.8244  1 Ni 2.51
Te  0.5729  0.2500  0.4028  1 Ni 2.46
Te  0.9934  0.0013  0.3024  1 Ni 2.53
Te  0.9934  0.4987  0.3024  1 Ni 2.53

Values from the calculation:
E_tot = -4.935 eV/atom
V = 454.7 Å³ per cell
Formation energy without anion corrections = -0.5629 eV/atom
N(E_F) = 18.4 states/eV/cell
Total magnetic moment = 0.16 μB per atom

---

The following is a PBE calculation of crystalline RbV2NiTe8 at its relaxed geometry, from Alexandria.

Cell lengths 11.2071, 11.2071, 11.2071 Å; angles 34.39, 34.39, 34.39 degrees
Last column: nearest neighbours and their distance in Å.
Element x y z (fractional)
Rb  0.0000  0.0000  0.0000  12 Te 3.85-4.29
V  0.2418  0.2418  0.2418  4 Te 2.50-2.51
V  0.7582  0.7582  0.7582  4 Te 2.50-2.51
Ni  0.5000  0.5000  0.5000  6 Te 2.61
Te  0.1460  0.7773  0.4282  1 V 2.51, 1 Ni 2.61
Te  0.2227  0.5718  0.8540  1 V 2.51, 1 Ni 2.61
Te  0.3208  0.3208  0.3208  1 V 2.50
Te  0.4282  0.1460  0.7773  1 V 2.51, 1 Ni 2.61
Te  0.5718  0.8540  0.2227  1 V 2.51, 1 Ni 2.61
Te  0.6792  0.6792  0.6792  1 V 2.50
Te  0.7773  0.4282  0.1460  1 V 2.51, 1 Ni 2.61
Te  0.8540  0.2227  0.5718  1 V 2.51, 1 Ni 2.61

Values from the calculation:
E_tot = -4.275 eV/atom
V = 400.6 Å³ per cell
Formation energy without anion corrections = -0.0981 eV/atom
N(E_F) = 8.1 states/eV/cell
Total magnetic moment = 0.00 μB per atom

---

The following is a PBE calculation of crystalline RbZrNiTe4 at its relaxed geometry, from Alexandria.

Cell lengths 7.0745, 6.3268, 10.2919 Å; angles 90.00, 109.47, 90.00 degrees
Last column: nearest neighbours and their distance in Å.
Element x y z (fractional)
Rb  0.2046  0.2500  0.0443  8 Te 3.60-3.93
Rb  0.7954  0.7500  0.9557  8 Te 3.60-3.93
Zr  0.2726  0.2500  0.5628  6 Te 2.92-3.08, 1 Ni 3.00
Zr  0.7274  0.7500  0.4372  6 Te 2.92-3.08, 1 Ni 3.00
Ni  0.2776  0.7500  0.3311  4 Te 2.47-2.52
Ni  0.7224  0.2500  0.6689  4 Te 2.47-2.52
Te  0.0062  0.0003  0.6827  1 Ni 2.52
Te  0.0062  0.4997  0.6827  1 Ni 2.52
Te  0.4338  0.7500  0.5871  1 Ni 2.49
Te  0.4462  0.7500  0.1559  1 Ni 2.47
Te  0.5538  0.2500  0.8441  1 Ni 2.47
Te  0.5662  0.2500  0.4129  1 Ni 2.49
Te  0.9938  0.9997  0.3173  1 Ni 2.52
Te  0.9938  0.5003  0.3173  1 Ni 2.52

Values from the calculation:
E_tot = -4.574 eV/atom
V = 434.3 Å³ per cell
Formation energy without anion corrections = -0.5936 eV/atom
N(E_F) = 11.2 states/eV/cell
Total magnetic moment = 0.00 μB per atom

---

The following is a PBE calculation of crystalline RbTiNi3 at its relaxed geometry, from Alexandria.

Cell lengths 4.5977, 4.5977, 4.5977 Å; angles 90.00, 90.00, 90.00 degrees
Last column: nearest neighbours and their distance in Å.
Element x y z (fractional)
Rb  0.0000  0.0000  0.0000  6 Ni 2.30
Ti  0.5000  0.5000  0.5000  12 Ni 3.25
Ni  0.0000  0.0000  0.5000  2 Rb 2.30
Ni  0.0000  0.5000  0.0000  2 Rb 2.30
Ni  0.5000  0.0000  0.0000  2 Rb 2.30

Values from the calculation:
E_tot = -3.079 eV/atom
V = 97.2 Å³ per cell
ΔE to the lowest computed polymorph = 1.270 eV per atom
N(E_F) = 13.8 states/eV/cell
Total magnetic moment = 0.00 μB per atom

---

The following is a PBE calculation of crystalline RbTi2Ni2 at its relaxed geometry, from Alexandria.

Cell lengths 6.6247, 6.6247, 6.6247 Å; angles 141.20, 141.20, 56.04 degrees
Last column: nearest neighbours and their distance in Å.
Element x y z (fractional)
Rb  0.0000  0.0000  0.0000  8 Ni 3.66, 10 Ti 3.67-3.91
Ti  0.3340  0.3340  0.0000  4 Ni 2.41
Ti  0.6660  0.6660  0.0000  4 Ni 2.41
Ni  0.2500  0.7500  0.5000  4 Ti 2.41
Ni  0.7500  0.2500  0.5000  4 Ti 2.41

Values from the calculation:
E_tot = -5.107 eV/atom
V = 113.3 Å³ per cell
N(E_F) = 4.2 states/eV/cell
Total magnetic moment = 0.42 μB per atom

---

The following is a PBE calculation of crystalline RbTi2Ni at its relaxed geometry, from Alexandria.

Cell lengths 4.6968, 4.6968, 4.6968 Å; angles 60.00, 60.00, 60.00 degrees
Last column: nearest neighbours and their distance in Å.
Element x y z (fractional)
Rb  0.0000  0.0000  0.0000  8 Ti 2.88
Ti  0.2500  0.2500  0.2500  4 Ni 2.88, 4 Rb 2.88
Ti  0.7500  0.7500  0.7500  4 Ni 2.88, 4 Rb 2.88
Ni  0.5000  0.5000  0.5000  8 Ti 2.88

Values from the calculation:
E_tot = -4.490 eV/atom
V = 73.3 Å³ per cell
ΔE to the lowest computed polymorph = 0.058 eV per atom
N(E_F) = 3.5 states/eV/cell
Total magnetic moment = 0.25 μB per atom

---

The following is a PBE calculation of crystalline RbTiNi3 at its relaxed geometry, from Alexandria.

Cell lengths 4.6801, 4.6801, 4.6801 Å; angles 90.00, 90.00, 90.00 degrees
Last column: nearest neighbours and their distance in Å.
Element x y z (fractional)
Rb  0.0000  0.0000  0.0000  12 Ni 3.31
Ti  0.5000  0.5000  0.5000  6 Ni 2.34
Ni  0.0000  0.5000  0.5000  2 Ti 2.34
Ni  0.5000  0.0000  0.5000  2 Ti 2.34
Ni  0.5000  0.5000  0.0000  2 Ti 2.34

Values from the calculation:
E_tot = -4.349 eV/atom
V = 102.5 Å³ per cell
ΔE to the lowest computed polymorph = 0.000 eV per atom
N(E_F) = 3.8 states/eV/cell
Total magnetic moment = 0.00 μB per atom

---

The following is a PBE calculation of crystalline RbTi2Ni at its relaxed geometry, from Alexandria.

Cell lengths 8.4644, 8.4644, 8.4644 Å; angles 140.13, 140.13, 57.66 degrees
Last column: nearest neighbours and their distance in Å.
Element x y z (fractional)
Rb  0.3750  0.6250  0.7500  8 Ti 3.72, 4 Ni 4.08
Rb  0.6250  0.3750  0.2500  8 Ti 3.72, 4 Ni 4.08
Ti  0.0000  0.0000  0.0000  2 Ni 2.35
Ti  0.0000  0.0000  0.5000  2 Ni 2.35
Ti  0.0000  0.5000  0.0000  2 Ni 2.35
Ti  0.5000  0.0000  0.5000  2 Ni 2.35
Ni  0.1250  0.8750  0.2500  4 Ti 2.35
Ni  0.8750  0.1250  0.7500  4 Ti 2.35

Values from the calculation:
E_tot = -4.548 eV/atom
V = 247.1 Å³ per cell
ΔE to the lowest computed polymorph = 0.000 eV per atom
N(E_F) = 12.0 states/eV/cell
Total magnetic moment = 0.50 μB per atom

---

The following is a PBE calculation of crystalline RbTiNi2 at its relaxed geometry, from Alexandria.

Cell lengths 4.6883, 4.6883, 4.6883 Å; angles 60.00, 60.00, 60.00 degrees
Last column: nearest neighbours and their distance in Å.
Element x y z (fractional)
Rb  0.0000  0.0000  0.0000  8 Ni 2.87
Ti  0.5000  0.5000  0.5000  8 Ni 2.87
Ni  0.2500  0.2500  0.2500  4 Rb 2.87, 4 Ti 2.87
Ni  0.7500  0.7500  0.7500  4 Rb 2.87, 4 Ti 2.87

Values from the calculation:
E_tot = -4.101 eV/atom
V = 72.9 Å³ per cell
ΔE to the lowest computed polymorph = 0.164 eV per atom
N(E_F) = 4.4 states/eV/cell
Total magnetic moment = 0.00 μB per atom

---

The following is a PBE calculation of crystalline Rb2TiNi at its relaxed geometry, from Alexandria.

Cell lengths 9.6048, 9.6048, 9.6048 Å; angles 93.25, 93.25, 152.44 degrees
Last column: nearest neighbours and their distance in Å.
Element x y z (fractional)
Rb  0.3750  0.2014  0.3264  2 Ni 3.50, 2 Ti 3.85
Rb  0.7986  0.1250  0.1736  2 Ni 3.50, 2 Ti 3.85
Rb  0.8750  0.0486  0.6736  2 Ni 3.50, 2 Ti 3.85
Rb  0.9514  0.6250  0.8264  2 Ni 3.50, 2 Ti 3.85
Ti  0.2500  0.7500  0.5000  2 Ni 2.29
Ti  0.5000  0.5000  0.0000  2 Ni 2.29
Ni  0.0000  0.0000  0.0000  2 Ti 2.29
Ni  0.7500  0.2500  0.5000  2 Ti 2.29

Values from the calculation:
E_tot = -3.028 eV/atom
V = 398.2 Å³ per cell
ΔE to the lowest computed polymorph = 0.000 eV per atom
N(E_F) = 8.0 states/eV/cell
Total magnetic moment = 0.53 μB per atom

---

The following is a PBE calculation of crystalline Rb3TiNi at its relaxed geometry, from Alexandria.

Cell lengths 6.4185, 6.4185, 6.4185 Å; angles 90.00, 90.00, 90.00 degrees
Last column: nearest neighbours and their distance in Å.
Element x y z (fractional)
Rb  0.0000  0.0000  0.5000  2 Ni 3.21
Rb  0.0000  0.5000  0.0000  2 Ni 3.21
Rb  0.5000  0.0000  0.0000  2 Ni 3.21
Ti  0.5000  0.5000  0.5000  12 Rb 4.54
Ni  0.0000  0.0000  0.0000  6 Rb 3.21

Values from the calculation:
E_tot = -2.099 eV/atom
V = 264.4 Å³ per cell
N(E_F) = 22.9 states/eV/cell
Total magnetic moment = 0.60 μB per atom

---

Question: Among the records above, which one has the lowest E_tot?
Answer: RbTi2Ni2